Record 1
A geometry-optimized SiHgTeO6 structure, computed with PBE.

Calculated values
- SG: P312
- Energy relative to the elements, uncorrected: -1.356 eV per atom

Cell: 5.0154 5.0155 5.0876 Å, 90.00 90.00 60.00°
Element x y z (fractional)
O (0.3685, 0.6111, 0.2954)
O (0.0203, 0.6111, 0.7046)
O (0.6111, 0.3686, 0.7046)
O (0.6111, 0.0204, 0.2954)
O (0.0203, 0.3686, 0.2954)
O (0.3685, 0.0203, 0.7046)
Te (0.6666, 0.6667, 0.5000)
Si (0.3333, 0.3333, 0.5000)
Hg (0.0000, 0.0000, 0.0000)


Record 2
A geometry-optimized SiHgTe2O8 structure, computed with PBE.

Calculated values
- SG: C2/m
- Energy relative to the elements, uncorrected: -0.929 eV per atom
- Fermi-level density of states: 3.897 states/eV/cell

Cell: 5.3720 6.1509 6.6760 Å, 51.17 66.28 64.11°
Element x y z (fractional)
Hg (0.5000, 0.5000, 0.5000)
O (0.1381, 0.9846, 0.2245)
O (0.9200, 0.3784, 0.7816)
O (0.6528, 0.9846, 0.2245)
O (0.3472, 0.0154, 0.7755)
O (0.0800, 0.6216, 0.2184)
O (0.8619, 0.0154, 0.7755)
O (0.6814, 0.4672, 0.1701)
O (0.3186, 0.5328, 0.8299)
Si (0.0000, 0.0000, 0.0000)
Te (0.7252, 0.7435, 0.8060)
Te (0.2748, 0.2565, 0.1940)


Record 3
A geometry-optimized Tl2SiHgO structure, computed with PBE.

Calculated values
- SG: P4/mmm
- Energy relative to the elements, uncorrected: -0.222 eV per atom
- Fermi-level density of states: 3.210 states/eV/cell

Cell: 6.0333 3.5097 6.0333 Å, 90.00 90.00 90.00°
Element x y z (fractional)
O (0.0000, 0.0000, 0.0000)
Hg (0.5000, 0.5000, 0.5000)
Si (0.0000, 0.5000, 0.0000)
Tl (0.5000, 0.0000, 0.0000)
Tl (0.0000, 0.0000, 0.5000)


Record 4
A geometry-optimized Tl2SiHgO4 structure, computed with PBE.

Calculated values
- SG: Fddd
- Energy relative to the elements, uncorrected: -1.190 eV per atom

Cell: 5.7638 6.3091 11.1660 Å, 83.23 75.04 62.82°
Element x y z (fractional)
O (0.4810, 0.3161, 0.5768)
O (0.2690, 0.1839, 0.9232)
O (0.2029, 0.3161, 0.4232)
O (0.3738, 0.6839, 0.4232)
O (0.9423, 0.6839, 0.5768)
O (0.5471, 0.1839, 0.0768)
O (0.3762, 0.8161, 0.0768)
O (0.8077, 0.8161, 0.9232)
Tl (0.1917, 0.0000, 0.6165)
Tl (0.9417, 0.5000, 0.1165)
Tl (0.8083, 0.0000, 0.3835)
Tl (0.5583, 0.5000, 0.8835)
Hg (0.0000, 0.0000, 0.0000)
Hg (0.7500, 0.5000, 0.5000)
Si (0.5000, 0.0000, 0.0000)
Si (0.2500, 0.5000, 0.5000)